[1]
Computed, not measured: a relaxed structure of Rb2SeBr2F4 at the PBE level of DFT.

**Total moment**: 0.00 μB per cell

Cell: 6.6798 6.6798 6.6798 Å, 96.79 116.16 116.16°
Closest atoms and distances in Å follow each position.
Atoms (fractional coordinates):
Rb1 0.5000 0.7500 0.2500  8 F 3.38, 4 Br 3.55
Rb2 0.5000 0.2500 0.7500  8 F 3.38, 4 Br 3.55
Se1 0.0000 0.0000 0.0000  4 F 1.96
Br1 0.0000 0.7042 0.7042  1 Se 2.62
Br2 0.0000 0.2958 0.2958  1 Se 2.62
F1 0.0000 0.8041 0.1959  1 Se 1.96
F2 0.6081 0.8041 0.8041  1 Se 1.96
F3 0.0000 0.1959 0.8041  1 Se 1.96
F4 0.3919 0.1959 0.1959  1 Se 1.96

***

[2]
Computed, not measured: a relaxed structure of Rb2SeBrF6 at the PBE level of DFT.

**Total moment**: 0.00 μB per cell

Cell: 6.8594 6.8594 6.8092 Å, 59.76 59.76 90.00°
Closest atoms and distances in Å follow each position.
Atoms (fractional coordinates):
Se1 0.5000 0.5000 0.0000  6 F 1.93
Br1 0.0000 0.0000 0.0000  6 F 2.85-2.92
Rb1 0.7500 0.2500 0.5000  12 F 3.44-3.46
Rb2 0.2500 0.7500 0.5000  12 F 3.44-3.46
F1 0.2985 0.2985 0.4030  1 Se 1.93
F2 0.7015 0.7015 0.5970  1 Se 1.93
F3 0.3015 0.3015 0.0000  1 Se 1.93
F4 0.6985 0.6985 0.0000  1 Se 1.93
F5 0.6985 0.3015 0.0000  1 Se 1.93
F6 0.3015 0.6985 0.0000  1 Se 1.93

***

[3]
Computed, not measured: a relaxed structure of RbSe2BrF at the PBE level of DFT.

**Total moment**: 0.83 μB per cell

Cell: 4.5563 4.5563 7.0821 Å, 90.00 90.00 90.00°
Closest atoms and distances in Å follow each position.
Atoms (fractional coordinates):
Se1 0.0000 0.5000 0.0000  2 F 2.28
Se2 0.5000 0.0000 0.0000  2 F 2.28
Br1 0.0000 0.0000 0.5000  4 Rb 3.22, 2 F 3.54
Rb1 0.5000 0.5000 0.5000  4 Br 3.22
F1 0.0000 0.0000 0.0000  4 Se 2.28

***

[4]
Computed, not measured: a relaxed structure of RbSm2Br2F5 at the PBE level of DFT.

**Total moment**: 0.00 μB per cell

Cell: 3.5884 10.4009 10.4009 Å, 90.00 90.00 90.00°
Closest atoms and distances in Å follow each position.
Atoms (fractional coordinates):
Rb1 0.0000 0.0000 0.0000  8 F 3.17
Rb2 0.0000 0.5000 0.5000  8 F 3.17
Sm1 0.0000 0.1266 0.6266  6 F 2.33-2.59
Sm2 0.0000 0.8734 0.3734  6 F 2.33-2.59
Sm3 0.0000 0.6266 0.8734  6 F 2.33-2.59
Sm4 0.0000 0.3734 0.1266  6 F 2.33-2.59
Br1 0.0000 0.6682 0.1682  3 Sm 3.02-3.10, 10 F 3.06-3.28
Br2 0.0000 0.3318 0.8318  3 Sm 3.02-3.10, 10 F 3.06-3.28
Br3 0.0000 0.1682 0.3318  3 Sm 3.02-3.10, 10 F 3.06-3.28
Br4 0.0000 0.8318 0.6682  3 Sm 3.02-3.10, 10 F 3.06-3.28
F1 0.5000 0.2386 0.0784  2 Sm 2.33
F2 0.5000 0.7614 0.9216  2 Sm 2.33
F3 0.5000 0.0784 0.7614  2 Sm 2.33
F4 0.5000 0.7386 0.4216  2 Sm 2.33
F5 0.5000 0.9216 0.2386  2 Sm 2.33
F6 0.5000 0.2614 0.5784  2 Sm 2.33
F7 0.5000 0.5784 0.7386  2 Sm 2.33
F8 0.5000 0.4216 0.2614  2 Sm 2.33
F9 0.5000 0.5000 0.0000  4 Sm 2.59, 4 F 2.84
F10 0.5000 0.0000 0.5000  4 Sm 2.59, 4 F 2.84

***

[5]
Computed, not measured: a relaxed structure of RbSnBr2F at the PBE level of DFT.

**Total moment**: 0.00 μB per cell

Cell: 5.9985 5.9985 4.6084 Å, 90.00 90.00 90.00°
Closest atoms and distances in Å follow each position.
Atoms (fractional coordinates):
Br1 0.0000 0.5000 0.0000  2 Sn 3.00
Br2 0.5000 0.0000 0.0000  2 Sn 3.00
Sn1 0.0000 0.0000 0.0000  2 F 2.30
Rb1 0.5000 0.5000 0.5000  8 Br 3.78
F1 0.0000 0.0000 0.5000  2 Sn 2.30

***

[6]
Computed, not measured: a relaxed structure of Rb2SnBr6F at the PBE level of DFT.

**Total moment**: 1.00 μB per cell

Cell: 7.7314 7.7314 7.7470 Å, 60.07 60.07 90.00°
Closest atoms and distances in Å follow each position.
Atoms (fractional coordinates):
Br1 0.2421 0.2421 0.5157  1 Sn 2.66, 1 F 2.83
Br2 0.7579 0.7579 0.4843  1 Sn 2.66, 1 F 2.83
Br3 0.2433 0.2433 0.0000  1 Sn 2.66, 1 F 2.81
Br4 0.7567 0.7567 0.0000  1 Sn 2.66, 1 F 2.81
Br5 0.7567 0.2433 0.0000  1 Sn 2.66, 1 F 2.81
Br6 0.2433 0.7567 0.0000  1 Sn 2.66, 1 F 2.81
Sn1 0.0000 0.0000 0.0000  6 Br 2.66
Rb1 0.7500 0.2500 0.5000  12 Br 3.87
Rb2 0.2500 0.7500 0.5000  12 Br 3.87
F1 0.5000 0.5000 0.0000  6 Br 2.81-2.83

***

[7]
Computed, not measured: a relaxed structure of Rb3SnBr2F6 at the PBE level of DFT.

**Total moment**: 0.19 μB per cell

Cell: 6.4178 6.5845 8.0601 Å, 114.11 89.65 90.00°
Closest atoms and distances in Å follow each position.
Atoms (fractional coordinates):
Rb1 0.0000 0.5000 0.0000  4 F 2.92
Rb2 0.5000 0.5000 0.5000  4 F 2.80-3.04
Rb3 0.5000 0.0000 0.5000  4 F 2.80-3.04
Sn1 0.5000 0.0000 0.0000  6 F 2.00-2.01
Br1 0.0190 0.7384 0.4768  1 F 3.10, 2 Br 3.32
Br2 0.9810 0.2616 0.5232  1 F 3.10, 2 Br 3.32
F1 0.6738 0.2766 0.1156  1 Sn 2.01
F2 0.3262 0.7234 0.8844  1 Sn 2.01
F3 0.6680 0.8846 0.7693  1 Sn 2.00
F4 0.3320 0.1154 0.2307  1 Sn 2.00
F5 0.3262 0.1611 0.8844  1 Sn 2.01
F6 0.6738 0.8389 0.1156  1 Sn 2.01

***

[8]
Computed, not measured: a relaxed structure of RbSnBrF2 at the PBE level of DFT.

**Total moment**: 0.00 μB per cell

Cell: 4.7578 4.7578 6.1118 Å, 90.00 90.00 90.00°
Closest atoms and distances in Å follow each position.
Atoms (fractional coordinates):
Br1 0.0000 0.0000 0.5000  2 Sn 3.06, 4 Rb 3.36
Sn1 0.0000 0.0000 0.0000  4 F 2.38
Rb1 0.5000 0.5000 0.5000  4 Br 3.36
F1 0.0000 0.5000 0.0000  2 Sn 2.38
F2 0.5000 0.0000 0.0000  2 Sn 2.38

***

[9]
Computed, not measured: a relaxed structure of Rb2SnBrF6 at the PBE level of DFT.

**Total moment**: 1.00 μB per cell

Cell: 6.8251 6.8251 6.9845 Å, 60.75 60.75 90.00°
Closest atoms and distances in Å follow each position.
Atoms (fractional coordinates):
Br1 0.5000 0.5000 0.0000  6 F 2.82-3.05
Sn1 0.0000 0.0000 0.0000  6 F 2.00
Rb1 0.7500 0.2500 0.5000  12 F 3.45-3.52
Rb2 0.2500 0.7500 0.5000  12 F 3.45-3.52
F1 0.1981 0.1981 0.6038  1 Sn 2.00
F2 0.8019 0.8019 0.3962  1 Sn 2.00
F3 0.2077 0.2077 0.0000  1 Sn 2.00
F4 0.7923 0.7923 0.0000  1 Sn 2.00
F5 0.7923 0.2077 0.0000  1 Sn 2.00
F6 0.2077 0.7923 0.0000  1 Sn 2.00

***

[10]
Computed, not measured: a relaxed structure of Rb2SrBr2F2 at the PBE level of DFT.

**Total moment**: 0.00 μB per cell

Cell: 4.8465 4.8465 9.6840 Å, 104.49 104.49 90.00°
Closest atoms and distances in Å follow each position.
Atoms (fractional coordinates):
Rb1 0.3651 0.3651 0.7303  4 F 3.44, 5 Br 3.49-3.53
Rb2 0.6349 0.6349 0.2697  4 F 3.44, 5 Br 3.49-3.53
Sr1 0.0000 0.0000 0.0000  4 F 2.42
Br1 0.1700 0.1700 0.3400  1 Sr 3.08
Br2 0.8300 0.8300 0.6600  1 Sr 3.08
F1 0.0000 0.5000 0.0000  2 Sr 2.42
F2 0.5000 0.0000 0.0000  2 Sr 2.42

***

[11]
Computed, not measured: a relaxed structure of Rb2SrBrF6 at the PBE level of DFT.

**Total moment**: 1.00 μB per cell

Cell: 6.3905 6.3905 7.1715 Å, 63.54 63.54 90.00°
Closest atoms and distances in Å follow each position.
Atoms (fractional coordinates):
Sr1 0.0000 0.0000 0.0000  6 F 2.36-2.38
Br1 0.5000 0.5000 0.0000  4 F 2.14
Rb1 0.7500 0.2500 0.5000  12 F 3.22-3.59
Rb2 0.2500 0.7500 0.5000  12 F 3.22-3.59
F1 0.2118 0.2118 0.5765  1 Sr 2.36
F2 0.7882 0.7882 0.4235  1 Sr 2.36
F3 0.2629 0.2629 0.0000  1 Br 2.14, 1 Sr 2.38
F4 0.7371 0.7371 0.0000  1 Br 2.14, 1 Sr 2.38
F5 0.7371 0.2629 0.0000  1 Br 2.14, 1 Sr 2.38
F6 0.2629 0.7371 0.0000  1 Br 2.14, 1 Sr 2.38

***

[12]
Computed, not measured: a relaxed structure of Rb2SrBr6F at the PBE level of DFT.

**Total moment**: 1.86 μB per cell

Cell: 7.7009 7.7009 8.4389 Å, 62.85 62.85 90.00°
Closest atoms and distances in Å follow each position.
Atoms (fractional coordinates):
Sr1 0.0000 0.0000 0.0000  6 Br 2.97-2.98
Br1 0.2304 0.2304 0.5393  1 Sr 2.97
Br2 0.7696 0.7696 0.4607  1 Sr 2.97
Br3 0.2738 0.2738 0.0000  1 F 2.46
Br4 0.7262 0.7262 0.0000  1 F 2.46
Br5 0.7262 0.2738 0.0000  1 F 2.46
Br6 0.2738 0.7262 0.0000  1 F 2.46
Rb1 0.7500 0.2500 0.5000  12 Br 3.86-4.23
Rb2 0.2500 0.7500 0.5000  12 Br 3.86-4.23
F1 0.5000 0.5000 0.0000  4 Br 2.46

***

Calculated formation energy (no corrections) in order - -16.114, -18.858, -2.013, -31.398, -8.003, -10.584, -26.787, -9.924, -22.609, -18.184, -23.083, -11.188 eV per formula unit
Calculated N(E_F) in order - 0.00, 8.00, 5.74, 0.00, 0.00, 6.10, 1.56, 0.00, 11.51, 0.00, 4.98, 12.80 states/eV/cell